(1)
A plane-wave DFT calculation with GGA-PBE was carried out for NaMgV3 after structural relaxation.

The value obtained for the formation energy is 2.0487 eV per atom. For the offset from the most stable computed form, the calculation gives 291 meV/atom. The calculation puts the density of states at the Fermi level at 8.1 states/eV/cell. As for the total magnetization: 1.02 μB per formula unit. As for the density: 3.53 g cm⁻³. Its final energy is -4.01 eV per atom.

The space group is Pm-3m (No. 221) and the conventional cell measures 4.5482, 4.5482 and 4.5482 Å, with angles of 90.00, 90.00 and 90.00 degrees. The asymmetric unit holds Na at (0.0000, 0.0000, 0.0000), Mg at (0.5000, 0.5000, 0.5000) and V at (0.0000, 0.0000, 0.5000).

=====

(2)
A plane-wave DFT calculation with GGA-PBE was carried out for NaMg14V after structural relaxation.

The value obtained for the formation energy is 0.0979 eV per atom. For the offset from the most stable computed form, the calculation gives 0 meV/atom. The calculation puts the density of states at the Fermi level at 7.9 states/eV/cell. As for the total magnetization: 3.66 μB per formula unit. As for the density: 1.89 g cm⁻³. Its final energy is -1.95 eV per atom.

The space group is P-6m2 (No. 187) and the conventional cell measures 6.3801, 6.3801 and 10.3408 Å, with angles of 90.00, 90.00 and 120.00 degrees. The asymmetric unit holds Na at (0.0000, 0.0000, 0.0000), Mg at (0.0050, 0.5025, 0.0000), Mg at (0.1650, 0.3300, 0.2595), Mg at (0.5013, 0.0025, 0.5000), Mg at (0.6667, 0.3333, 0.2449) and V at (0.0000, 0.0000, 0.5000).

=====

(3)
A plane-wave DFT calculation with GGA-PBE was carried out for NaMg2V after structural relaxation.

The value obtained for the formation energy is 0.7297 eV per atom. For the offset from the most stable computed form, the calculation gives 218 meV/atom. The calculation puts the density of states at the Fermi level at 12.6 states/eV/cell. As for the total magnetization: 3.72 μB per formula unit. As for the density: 2.10 g cm⁻³. Its final energy is -2.68 eV per atom.

The space group is I-42d (No. 122) and the conventional cell measures 7.9261, 7.9261 and 6.1648 Å, with angles of 90.00, 90.00 and 90.00 degrees. The asymmetric unit holds Na at (0.0000, 0.0000, 0.0000), Mg at (0.2391, 0.2500, 0.6250) and V at (0.0000, 0.0000, 0.5000).

=====

(4)
A plane-wave DFT calculation with GGA-PBE was carried out for NaMg3V after structural relaxation.

The value obtained for the formation energy is 0.6645 eV per atom. For the offset from the most stable computed form, the calculation gives 0 meV/atom. The calculation puts the density of states at the Fermi level at 3.2 states/eV/cell. As for the total magnetization: 4.42 μB per formula unit. As for the density: 1.57 g cm⁻³. Its final energy is -2.38 eV per atom.

The space group is Pm-3m (No. 221) and the conventional cell measures 5.3755, 5.3755 and 5.3755 Å, with angles of 90.00, 90.00 and 90.00 degrees. The asymmetric unit holds Na at (0.0000, 0.0000, 0.0000), Mg at (0.0000, 0.5000, 0.5000) and V at (0.5000, 0.5000, 0.5000).

=====

(5)
A plane-wave DFT calculation with GGA-PBE was carried out for Na2MgVW after structural relaxation.

The value obtained for the formation energy is 1.4087 eV per atom. For the offset from the most stable computed form, the calculation gives 0 meV/atom. The calculation puts the density of states at the Fermi level at 3.0 states/eV/cell. As for the total magnetization: 0.00 μB per formula unit. As for the density: 3.87 g cm⁻³. Its final energy is -3.85 eV per atom.

The space group is P4/mmm (No. 123) and the conventional cell measures 5.4536, 5.4536 and 4.4027 Å, with angles of 90.00, 90.00 and 90.00 degrees. The asymmetric unit holds Na at (0.0000, 0.5000, 0.0000), Mg at (0.0000, 0.0000, 0.5000), V at (0.5000, 0.5000, 0.0000) and W at (0.5000, 0.5000, 0.5000).

=====

(6)
A plane-wave DFT calculation with GGA-PBE was carried out for NaYMg2V after structural relaxation.

The value obtained for the formation energy is 0.7782 eV per atom. The calculation puts the density of states at the Fermi level at 4.2 states/eV/cell. As for the total magnetization: 3.49 μB per formula unit. As for the density: 2.49 g cm⁻³. Its final energy is -3.24 eV per atom.

The space group is P4/mmm (No. 123) and the conventional cell measures 5.2132, 5.2132 and 5.1782 Å, with angles of 90.00, 90.00 and 90.00 degrees. The asymmetric unit holds Na at (0.0000, 0.0000, 0.0000), Y at (0.5000, 0.5000, 0.0000), Mg at (0.0000, 0.5000, 0.5000) and V at (0.0000, 0.0000, 0.5000).

=====

(7)
A plane-wave DFT calculation with GGA-PBE was carried out for NaMg3W after structural relaxation.

The value obtained for the formation energy is 1.0296 eV per atom. For the offset from the most stable computed form, the calculation gives 0 meV/atom. The calculation puts the density of states at the Fermi level at 3.7 states/eV/cell. As for the total magnetization: 2.93 μB per formula unit. As for the density: 2.96 g cm⁻³. Its final energy is -2.78 eV per atom.

The space group is Pm-3m (No. 221) and the conventional cell measures 5.3914, 5.3914 and 5.3914 Å, with angles of 90.00, 90.00 and 90.00 degrees. The asymmetric unit holds Na at (0.0000, 0.0000, 0.0000), Mg at (0.0000, 0.5000, 0.5000) and W at (0.5000, 0.5000, 0.5000).

=====

(8)
A plane-wave DFT calculation with GGA-PBE was carried out for NaMg2W after structural relaxation.

The value obtained for the formation energy is 1.2260 eV per atom. For the offset from the most stable computed form, the calculation gives 325 meV/atom. The calculation puts the density of states at the Fermi level at 13.6 states/eV/cell. As for the total magnetization: 2.62 μB per formula unit. As for the density: 4.79 g cm⁻³. Its final energy is -3.14 eV per atom.

The space group is I-42d (No. 122) and the conventional cell measures 7.6610, 7.6610 and 6.0351 Å, with angles of 90.00, 90.00 and 90.00 degrees. The asymmetric unit holds Na at (0.0000, 0.0000, 0.0000), Mg at (0.2466, 0.2500, 0.6250) and W at (0.0000, 0.0000, 0.5000).

=====

(9)
A plane-wave DFT calculation with GGA-PBE was carried out for NaMg14W after structural relaxation.

The value obtained for the formation energy is 0.1529 eV per atom. For the offset from the most stable computed form, the calculation gives 0 meV/atom. The calculation puts the density of states at the Fermi level at 21.5 states/eV/cell. As for the total magnetization: 0.00 μB per formula unit. As for the density: 2.58 g cm⁻³. Its final energy is -2.13 eV per atom.

The space group is Cmmm (No. 65) and the conventional cell measures 8.9596, 8.9717 and 8.7581 Å, with angles of 90.00, 90.00 and 90.00 degrees. The asymmetric unit holds Na at (0.0000, 0.0000, 0.0000), Mg at (0.0000, 0.0000, 0.5000), Mg at (0.0000, 0.2651, 0.2430), Mg at (0.0000, 0.5000, 0.5000), Mg at (0.2351, 0.5000, 0.2429), Mg at (0.2500, 0.2500, 0.0000), Mg at (0.2500, 0.2500, 0.5000) and W at (0.0000, 0.5000, 0.0000).

=====

(10)
A plane-wave DFT calculation with GGA-PBE was carried out for NaMgW2 after structural relaxation.

The value obtained for the formation energy is 1.1496 eV per atom. The calculation puts the density of states at the Fermi level at 18.6 states/eV/cell. As for the total magnetization: 0.00 μB per formula unit. As for the density: 9.10 g cm⁻³. Its final energy is -6.06 eV per atom.

The space group is I-42d (No. 122) and the conventional cell measures 3.7785, 3.7785 and 21.2155 Å, with angles of 90.00, 90.00 and 90.00 degrees. The asymmetric unit holds Na at (0.0000, 0.0000, 0.0000), Mg at (0.0000, 0.0000, 0.5000) and W at (0.2420, 0.2500, 0.6250).

=====

(11)
A plane-wave DFT calculation with GGA-PBE was carried out for NaMg6W after structural relaxation.

The value obtained for the formation energy is 0.3057 eV per atom. For the offset from the most stable computed form, the calculation gives 7 meV/atom. The calculation puts the density of states at the Fermi level at 1.5 states/eV/cell. As for the total magnetization: 0.00 μB per formula unit. As for the density: 3.50 g cm⁻³. Its final energy is -2.67 eV per atom.

The space group is P-6m2 (No. 187) and the conventional cell measures 6.2287, 6.2287 and 4.9758 Å, with angles of 90.00, 90.00 and 120.00 degrees. The asymmetric unit holds Na at (0.0000, 0.0000, 0.0000), Mg at (0.0258, 0.5129, 0.0000), Mg at (0.3382, 0.1691, 0.5000) and W at (0.3333, 0.6667, 0.5000).

=====

(12)
A plane-wave DFT calculation with GGA-PBE was carried out for NaMg14W after structural relaxation.

The value obtained for the formation energy is 0.1678 eV per atom. For the offset from the most stable computed form, the calculation gives 15 meV/atom. The calculation puts the density of states at the Fermi level at 7.9 states/eV/cell. As for the total magnetization: 0.83 μB per formula unit. As for the density: 2.57 g cm⁻³. Its final energy is -2.12 eV per atom.

The space group is P-6m2 (No. 187) and the conventional cell measures 6.3327, 6.3327 and 10.1804 Å, with angles of 90.00, 90.00 and 120.00 degrees. The asymmetric unit holds Na at (0.0000, 0.0000, 0.0000), Mg at (0.0058, 0.5029, 0.0000), Mg at (0.1616, 0.3232, 0.2654), Mg at (0.5018, 0.0035, 0.5000), Mg at (0.6667, 0.3333, 0.2442) and W at (0.0000, 0.0000, 0.5000).